Run P
DFT (GGA-PBE) results for crystalline CrOsC3 at its relaxed geometry.

Values from the calculation:
For the magnetization, the calculation gives 0.008 μB/cell.

a b c (Å): 3.7452 3.7452 3.7452
angles (deg): 90.00 90.00 90.00
With the nearest neighbours (Å) after each atom.
Element x y z (fractional)
Cr: 0.0000 0.0000 0.0000  6 C 1.87
C: 0.0000 0.5000 0.0000  2 Cr 1.87
C: 0.0000 0.0000 0.5000  2 Cr 1.87
C: 0.5000 0.0000 0.0000  2 Cr 1.87
Os: 0.5000 0.5000 0.5000  12 C 2.65

Run Q
DFT (GGA-PBE) results for crystalline CrOsC3 at its relaxed geometry.

Values from the calculation:
For the magnetization, the calculation gives 0.270 μB/cell.

a b c (Å): 3.9381 3.9381 3.9381
angles (deg): 90.00 90.00 90.00
With the nearest neighbours (Å) after each atom.
Element x y z (fractional)
Cr: 0.5000 0.5000 0.5000  12 C 2.78
C: 0.0000 0.5000 0.0000  2 Os 1.97
C: 0.0000 0.0000 0.5000  2 Os 1.97
C: 0.5000 0.0000 0.0000  2 Os 1.97
Os: 0.0000 0.0000 0.0000  6 C 1.97

In kJ/mol of atoms, relative to the most stable structure: run P 7.3; run Q 0.0.

Run P
DFT (GGA-PBE) results for crystalline CrOs3C at its relaxed geometry.

Values from the calculation:
For the magnetization, the calculation gives 0.107 μB/cell.

a b c (Å): 4.4162 4.4162 4.4162
angles (deg): 90.00 90.00 90.00
With the nearest neighbours (Å) after each atom.
Element x y z (fractional)
Cr: 0.0000 0.0000 0.0000  6 Os 2.21
C: 0.5000 0.5000 0.5000  12 Os 3.12
Os: 0.0000 0.5000 0.0000  2 Cr 2.21
Os: 0.0000 0.0000 0.5000  2 Cr 2.21
Os: 0.5000 0.0000 0.0000  2 Cr 2.21

Run Q
DFT (GGA-PBE) results for crystalline CrOs3C at its relaxed geometry.

Values from the calculation:
For the magnetization, the calculation gives 0.000 μB/cell.

a b c (Å): 4.0113 4.0113 4.0113
angles (deg): 90.00 90.00 90.00
With the nearest neighbours (Å) after each atom.
Element x y z (fractional)
Cr: 0.5000 0.5000 0.5000  12 Os 2.84
C: 0.0000 0.0000 0.0000  6 Os 2.01
Os: 0.0000 0.5000 0.0000  2 C 2.01
Os: 0.0000 0.0000 0.5000  2 C 2.01
Os: 0.5000 0.0000 0.0000  2 C 2.01

In kJ/mol of atoms, relative to the most stable structure: run P 239.4; run Q 0.0.

Run P
DFT (GGA-PBE) results for crystalline Cr2Os2C at its relaxed geometry.

Values from the calculation:
For the magnetization, the calculation gives 0.000 μB/cell.

a b c (Å): 2.9925 2.9925 7.1577
angles (deg): 77.93 77.93 90.00
With the nearest neighbours (Å) after each atom.
Element x y z (fractional)
Cr: 0.7500 0.2500 0.5000  4 Cr 2.12
Cr: 0.2500 0.7500 0.5000  4 Cr 2.12
C: 0.0000 0.0000 0.0000  8 Os 2.47
Os: 0.4062 0.4062 0.1877  4 C 2.47, 1 Os 2.57, 4 Cr 2.61
Os: 0.5938 0.5938 0.8123  4 C 2.47, 1 Os 2.57, 4 Cr 2.61

Run Q
DFT (GGA-PBE) results for crystalline Cr2Os2C at its relaxed geometry.

Values from the calculation:
For the magnetization, the calculation gives 0.000 μB/cell.

a b c (Å): 6.9499 6.9499 2.7735
angles (deg): 90.00 90.00 90.00
With the nearest neighbours (Å) after each atom.
Element x y z (fractional)
Cr: 0.1381 0.6381 0.5000  6 Os 2.45-2.48, 1 Cr 2.72
Cr: 0.6381 0.8619 0.5000  6 Os 2.45-2.48, 1 Cr 2.72
Cr: 0.8619 0.3619 0.5000  6 Os 2.45-2.48, 1 Cr 2.72
Cr: 0.3619 0.1381 0.5000  6 Os 2.45-2.48, 1 Cr 2.72
C: 0.0000 0.0000 0.0000  4 Os 2.62, 2 C 2.77
C: 0.5000 0.5000 0.0000  4 Os 2.62, 2 C 2.77
Os: 0.3436 0.8436 0.0000  6 Cr 2.45-2.48, 2 C 2.62
Os: 0.8436 0.6564 0.0000  6 Cr 2.45-2.48, 2 C 2.62
Os: 0.6564 0.1564 0.0000  6 Cr 2.45-2.48, 2 C 2.62
Os: 0.1564 0.3436 0.0000  6 Cr 2.45-2.48, 2 C 2.62

In kJ/mol of atoms, relative to the most stable structure: run P 0.0; run Q 17.4.

Run P
DFT (GGA-PBE) results for crystalline CrPC3 at its relaxed geometry.

Values from the calculation:
For the magnetization, the calculation gives 0.001 μB/cell.

a b c (Å): 3.5789 3.5789 3.5789
angles (deg): 90.00 90.00 90.00
With the nearest neighbours (Å) after each atom.
Element x y z (fractional)
Cr: 0.5000 0.5000 0.5000  12 C 2.53
C: 0.0000 0.5000 0.0000  2 P 1.79
C: 0.0000 0.0000 0.5000  2 P 1.79
C: 0.5000 0.0000 0.0000  2 P 1.79
P: 0.0000 0.0000 0.0000  6 C 1.79

Run Q
DFT (GGA-PBE) results for crystalline CrPC3 at its relaxed geometry.

Values from the calculation:
For the magnetization, the calculation gives 0.000 μB/cell.

a b c (Å): 3.8393 3.8393 3.8393
angles (deg): 90.00 90.00 90.00
With the nearest neighbours (Å) after each atom.
Element x y z (fractional)
Cr: 0.0000 0.0000 0.0000  6 C 1.92
C: 0.0000 0.5000 0.0000  2 Cr 1.92
C: 0.0000 0.0000 0.5000  2 Cr 1.92
C: 0.5000 0.0000 0.0000  2 Cr 1.92
P: 0.5000 0.5000 0.5000  12 C 2.71

In kJ/mol of atoms, relative to the most stable structure: run P 0.0; run Q 8.4.

Run P
DFT (GGA-PBE) results for crystalline CrP3C at its relaxed geometry.

Values from the calculation:
For the magnetization, the calculation gives 0.001 μB/cell.

a b c (Å): 3.9284 3.9284 3.9284
angles (deg): 90.00 90.00 90.00
With the nearest neighbours (Å) after each atom.
Element x y z (fractional)
Cr: 0.5000 0.5000 0.5000  12 P 2.78
C: 0.0000 0.0000 0.0000  6 P 1.96
P: 0.0000 0.5000 0.0000  2 C 1.96
P: 0.0000 0.0000 0.5000  2 C 1.96
P: 0.5000 0.0000 0.0000  2 C 1.96

Run Q
DFT (GGA-PBE) results for crystalline CrP3C at its relaxed geometry.

Values from the calculation:
For the magnetization, the calculation gives 1.509 μB/cell.

a b c (Å): 4.3659 4.3659 4.3659
angles (deg): 90.00 90.00 90.00
With the nearest neighbours (Å) after each atom.
Element x y z (fractional)
Cr: 0.0000 0.0000 0.0000  6 P 2.18
C: 0.5000 0.5000 0.5000  12 P 3.09
P: 0.0000 0.5000 0.0000  2 Cr 2.18
P: 0.0000 0.0000 0.5000  2 Cr 2.18
P: 0.5000 0.0000 0.0000  2 Cr 2.18

In kJ/mol of atoms, relative to the most stable structure: run P 0.0; run Q 38.8.

Run P
DFT (GGA-PBE) results for crystalline CrP2CS at its relaxed geometry.

Values from the calculation:
For the magnetization, the calculation gives 2.800 μB/cell.

a b c (Å): 3.9660 3.9660 4.1789
angles (deg): 90.00 90.00 90.00
With the nearest neighbours (Å) after each atom.
Element x y z (fractional)
Cr: 0.5000 0.5000 0.5000  4 S 2.80, 8 P 2.88
S: 0.0000 0.0000 0.5000  2 C 2.09
C: 0.0000 0.0000 0.0000  4 P 1.98, 2 S 2.09
P: 0.0000 0.5000 0.0000  2 C 1.98
P: 0.5000 0.0000 0.0000  2 C 1.98

Run Q
DFT (GGA-PBE) results for crystalline CrP2CS at its relaxed geometry.

Values from the calculation:
For the magnetization, the calculation gives 1.654 μB/cell.

a b c (Å): 4.4626 4.4626 4.2753
angles (deg): 90.00 90.00 90.00
With the nearest neighbours (Å) after each atom.
Element x y z (fractional)
Cr: 0.0000 0.0000 0.0000  2 S 2.14, 4 P 2.23
S: 0.0000 0.0000 0.5000  2 Cr 2.14
C: 0.5000 0.5000 0.5000  8 P 3.09, 4 S 3.16
P: 0.0000 0.5000 0.0000  2 Cr 2.23
P: 0.5000 0.0000 0.0000  2 Cr 2.23

In kJ/mol of atoms, relative to the most stable structure: run P 0.0; run Q 53.5.

Run P
DFT (GGA-PBE) results for crystalline CrPCS2 at its relaxed geometry.

Values from the calculation:
For the magnetization, the calculation gives 0.000 μB/cell.

a b c (Å): 4.0035 4.0035 3.9230
angles (deg): 90.00 90.00 90.00
With the nearest neighbours (Å) after each atom.
Element x y z (fractional)
Cr: 0.5000 0.5000 0.5000  8 S 2.80, 4 P 2.83
S: 0.0000 0.5000 0.0000  2 C 2.00
S: 0.5000 0.0000 0.0000  2 C 2.00
C: 0.0000 0.0000 0.0000  2 P 1.96, 4 S 2.00
P: 0.0000 0.0000 0.5000  2 C 1.96

Run Q
DFT (GGA-PBE) results for crystalline CrPCS2 at its relaxed geometry.

Values from the calculation:
For the magnetization, the calculation gives 2.059 μB/cell.

a b c (Å): 4.3836 4.3836 4.5528
angles (deg): 90.00 90.00 90.00
With the nearest neighbours (Å) after each atom.
Element x y z (fractional)
Cr: 0.0000 0.0000 0.0000  4 S 2.19, 2 P 2.28
S: 0.0000 0.5000 0.0000  2 Cr 2.19
S: 0.5000 0.0000 0.0000  2 Cr 2.19
C: 0.5000 0.5000 0.5000  4 P 3.10, 8 S 3.16
P: 0.0000 0.0000 0.5000  2 Cr 2.28

In kJ/mol of atoms, relative to the most stable structure: run P 0.0; run Q 23.1.

Run P
DFT (GGA-PBE) results for crystalline CrSiPC at its relaxed geometry.

Values from the calculation:
For the magnetization, the calculation gives 0.104 μB/cell.

a b c (Å): 4.5850 2.7214 8.4391
angles (deg): 90.00 121.21 90.00
With the nearest neighbours (Å) after each atom.
Element x y z (fractional)
Cr: 0.8774 0.0000 0.3711  2 C 2.01
Cr: 0.8774 0.5000 0.8711  2 C 2.01
Si: 0.4154 0.0000 0.0452  1 C 1.94
Si: 0.4154 0.5000 0.5452  1 C 1.94
C: 0.5462 0.0000 0.8608  1 P 1.84, 1 Si 1.94, 2 Cr 2.01
C: 0.5462 0.5000 0.3608  1 P 1.84, 1 Si 1.94, 2 Cr 2.01
P: 0.0786 0.0000 0.7078  1 C 1.84
P: 0.0786 0.5000 0.2078  1 C 1.84

Run Q
DFT (GGA-PBE) results for crystalline CrSiPC at its relaxed geometry.

Values from the calculation:
For the magnetization, the calculation gives 0.782 μB/cell.

a b c (Å): 3.4844 2.9218 4.5525
angles (deg): 90.00 110.88 90.00
With the nearest neighbours (Å) after each atom.
Element x y z (fractional)
Cr: 0.9090 0.5000 0.1317  2 C 2.18, 1 Si 2.43, 2 P 2.44
Si: 0.6124 0.5000 0.5396  2 C 1.95
C: 0.2256 0.0000 0.4924  1 P 1.86, 2 Si 1.95
P: 0.3051 0.0000 0.9187  1 C 1.86

In kJ/mol of atoms, relative to the most stable structure: run P 5.2; run Q 0.0.

Run P
DFT (GGA-PBE) results for crystalline PaCrC2 at its relaxed geometry.

Values from the calculation:
For the magnetization, the calculation gives 0.008 μB/cell.

a b c (Å): 3.2858 5.5829 10.6103
angles (deg): 90.00 90.00 90.00
With the nearest neighbours (Å) after each atom.
Element x y z (fractional)
Pa: 0.7500 0.5815 0.3581  7 C 2.42-2.59
Pa: 0.7500 0.0815 0.1419  7 C 2.42-2.59
Pa: 0.2500 0.4185 0.6419  7 C 2.42-2.59
Pa: 0.2500 0.9185 0.8581  7 C 2.42-2.59
Cr: 0.2500 0.0780 0.4015  5 C 2.03-2.13
Cr: 0.7500 0.9220 0.5985  5 C 2.03-2.13
Cr: 0.2500 0.5780 0.0985  5 C 2.03-2.13
Cr: 0.7500 0.4220 0.9015  5 C 2.03-2.13
C: 0.7500 0.7185 0.0142  3 Cr 2.03-2.04
C: 0.2500 0.2815 0.9858  3 Cr 2.03-2.04
C: 0.7500 0.2185 0.4858  3 Cr 2.03-2.04
C: 0.2500 0.7815 0.5142  3 Cr 2.03-2.04
C: 0.7500 0.1659 0.7526  2 Cr 2.13
C: 0.2500 0.3341 0.2526  2 Cr 2.13
C: 0.7500 0.6659 0.7474  2 Cr 2.13
C: 0.2500 0.8341 0.2474  2 Cr 2.13

Run Q
DFT (GGA-PBE) results for crystalline PaCrC2 at its relaxed geometry.

Values from the calculation:
For the magnetization, the calculation gives 0.311 μB/cell.

a b c (Å): 3.2331 3.2331 5.5845
angles (deg): 73.17 73.17 60.00
With the nearest neighbours (Å) after each atom.
Element x y z (fractional)
Cr: 0.0000 0.0000 0.0000  6 C 2.14
C: 0.2666 0.2666 0.2002  3 Cr 2.14
C: 0.7334 0.7334 0.7998  3 Cr 2.14
Pa: 0.5000 0.5000 0.5000  6 C 2.44

In kJ/mol of atoms, relative to the most stable structure: run P 0.0; run Q 23.8.

Run P
DFT (GGA-PBE) results for crystalline CrPdC2 at its relaxed geometry.

Values from the calculation:
For the magnetization, the calculation gives 0.000 μB/cell.

a b c (Å): 4.5704 4.5704 5.5386
angles (deg): 65.63 65.63 90.00
With the nearest neighbours (Å) after each atom.
Element x y z (fractional)
Cr: 0.5000 0.5000 0.0000  4 C 1.87
Cr: 0.2500 0.7500 0.5000  4 C 1.87
C: 0.5854 0.1250 0.2500  2 Cr 1.87, 2 Pd 2.08
C: 0.1646 0.6250 0.2500  2 Cr 1.87, 2 Pd 2.08
C: 0.3750 0.4146 0.7500  2 Cr 1.87, 2 Pd 2.08
C: 0.8750 0.8354 0.7500  2 Cr 1.87, 2 Pd 2.08
Pd: 0.0000 0.0000 0.0000  4 C 2.08
Pd: 0.7500 0.2500 0.5000  4 C 2.08

Run Q
DFT (GGA-PBE) results for crystalline CrPdC2 at its relaxed geometry.

Values from the calculation:
For the magnetization, the calculation gives 0.000 μB/cell.

a b c (Å): 3.7454 3.7454 3.7454
angles (deg): 60.00 60.00 60.00
With the nearest neighbours (Å) after each atom.
Element x y z (fractional)
Cr: 0.0000 0.0000 0.0000  8 C 2.29
C: 0.2500 0.2500 0.2500  4 Cr 2.29, 4 Pd 2.29
C: 0.7500 0.7500 0.7500  4 Cr 2.29, 4 Pd 2.29
Pd: 0.5000 0.5000 0.5000  8 C 2.29

In kJ/mol of atoms, relative to the most stable structure: run P 0.0; run Q 61.1.

Run P
DFT (GGA-PBE) results for crystalline Pm2CrC2 at its relaxed geometry.

Values from the calculation:
For the magnetization, the calculation gives 0.039 μB/cell.

a b c (Å): 5.2811 6.2061 6.7806
angles (deg): 117.06 90.00 115.18
With the nearest neighbours (Å) after each atom.
Element x y z (fractional)
Pm: 0.6841 0.3682 0.6248  5 C 2.56-2.76
Pm: 0.3159 0.6318 0.3752  5 C 2.56-2.76
Pm: 0.0380 0.0761 0.7849  4 C 2.47-2.67
Pm: 0.9620 0.9239 0.2151  4 C 2.47-2.67
Cr: 0.3671 0.7342 0.8710  3 C 1.85-1.98
Cr: 0.6329 0.2658 0.1290  3 C 1.85-1.98
C: 0.1909 0.3818 0.6217  1 Cr 1.85
C: 0.8091 0.6182 0.3783  1 Cr 1.85
C: 0.4938 0.9876 0.2061  2 Cr 1.88-1.98
C: 0.5062 0.0124 0.7939  2 Cr 1.88-1.98

Run Q
DFT (GGA-PBE) results for crystalline Pm2CrC2 at its relaxed geometry.

Values from the calculation:
For the magnetization, the calculation gives 0.002 μB/cell.

a b c (Å): 6.3456 6.3201 8.0448
angles (deg): 90.00 101.28 90.00
With the nearest neighbours (Å) after each atom.
Element x y z (fractional)
Pm: 0.5469 0.2747 0.0742  3 C 2.50-2.78
Pm: 0.0469 0.2253 0.0742  3 C 2.50-2.78
Pm: 0.9531 0.7747 0.9258  3 C 2.50-2.78
Pm: 0.4531 0.7253 0.9258  3 C 2.50-2.78
Pm: 0.9098 0.6136 0.3242  4 C 2.50-2.74
Pm: 0.4098 0.8864 0.3242  4 C 2.50-2.74
Pm: 0.5902 0.1136 0.6758  4 C 2.50-2.74
Pm: 0.0902 0.3864 0.6758  4 C 2.50-2.74
Cr: 0.3585 0.4163 0.3883  3 C 1.92-2.03
Cr: 0.6415 0.5837 0.6117  3 C 1.92-2.03
Cr: 0.8585 0.0837 0.3883  3 C 1.92-2.03
Cr: 0.1415 0.9163 0.6117  3 C 1.92-2.03
C: 0.7573 0.9483 0.1746  1 Cr 1.92
C: 0.2573 0.5517 0.1746  1 Cr 1.92
C: 0.7427 0.4483 0.8254  1 Cr 1.92
C: 0.2427 0.0517 0.8254  1 Cr 1.92
C: 0.6661 0.3255 0.4316  3 Cr 2.00-2.21
C: 0.1661 0.1745 0.4316  3 Cr 2.00-2.21
C: 0.8339 0.8255 0.5684  3 Cr 2.00-2.21
C: 0.3339 0.6745 0.5684  3 Cr 2.00-2.21

In kJ/mol of atoms, relative to the most stable structure: run P 0.0; run Q 7.2.

Run P
DFT (GGA-PBE) results for crystalline CrTePtC2 at its relaxed geometry.

Values from the calculation:
For the magnetization, the calculation gives 0.004 μB/cell.

a b c (Å): 3.7878 5.4674 3.7878
angles (deg): 90.00 90.00 90.00
With the nearest neighbours (Å) after each atom.
Element x y z (fractional)
Cr: 0.0000 0.0000 0.0000  4 C 1.89
C: 0.0000 0.0000 0.5000  2 Cr 1.89
C: 0.5000 0.0000 0.0000  2 Cr 1.89
Te: 0.5000 0.5000 0.5000  4 Pt 2.68
Pt: 0.0000 0.5000 0.0000  4 Te 2.68, 2 Cr 2.73

Run Q
DFT (GGA-PBE) results for crystalline CrTePtC2 at its relaxed geometry.

Values from the calculation:
For the magnetization, the calculation gives 4.063 μB/cell.

a b c (Å): 3.8533 8.5673 3.8533
angles (deg): 90.00 90.00 90.00
With the nearest neighbours (Å) after each atom.
Element x y z (fractional)
Cr: 0.5000 0.5000 0.5000  4 Te 2.72
C: 0.0000 0.0000 0.5000  2 Pt 1.93
C: 0.5000 0.0000 0.0000  2 Pt 1.93
Te: 0.0000 0.5000 0.0000  4 Cr 2.72
Pt: 0.0000 0.0000 0.0000  4 C 1.93

In kJ/mol of atoms, relative to the most stable structure: run P 0.0; run Q 18.6.